Record 1
Here is a crystal of SrPdI2O relaxed with PBEsol from the Alexandria database. Energies are from meta-GGA SCAN.

Cell and atoms, written as POSCAR:
```
SrPdI2O
1.0
6.2160 0.0000 0.0000
0.0000 6.2160 0.0000
0.0000 0.0000 4.1883
Sr Pd I O
1 1 2 1
direct
0.0000 0.0000 0.0000 Sr
0.5000 0.5000 0.5000 Pd
0.0000 0.5000 0.0000 I
0.5000 0.0000 0.0000 I
0.0000 0.0000 0.5000 O
```

Computed properties:
space group	No. 123


Record 2
Here is a crystal of TlPdIO2 relaxed with PBEsol from the Alexandria database. Energies are from meta-GGA SCAN.

Cell and atoms, written as POSCAR:
```
TlPdIO2
1.0
4.0247 0.0000 0.0000
0.0000 4.0247 0.0000
0.0000 0.0000 6.8391
Tl Pd I O
1 1 1 2
direct
0.0000 0.0000 0.0000 Tl
0.5000 0.5000 0.5000 Pd
0.0000 0.0000 0.5000 I
0.0000 0.5000 0.0000 O
0.5000 0.0000 0.0000 O
```

Computed properties:
space group	No. 123
energy above the lowest structure with this stoichiometry	192	meV per atom


Record-wise V values, in Å³/cell: 161.8 110.8
Record-wise ΔE_f (raw) values, in eV/atom: -0.2253 0.3040